Compound: Sr3Ni2
Source: Alexandria via LeMat-Bulk
Functional: GGA-PBE
Structure: relaxed

a b c (Å): 10.7925 10.7925 10.7925
angles (deg): 22.84 22.84 22.84
With the nearest neighbours (Å) after each atom.
Fractional coordinates of all 5 atoms:
Sr 0.0000 0.0000 0.0000  6 Ni 3.04
Ni 0.3899 0.3899 0.3899  6 Sr 2.94-3.04
Sr 0.2262 0.2262 0.2262  3 Ni 2.94
Sr 0.7738 0.7738 0.7738  3 Ni 2.94
Ni 0.6101 0.6101 0.6101  6 Sr 2.94-3.04

Total magnetization ... 0.0 μB/f.u.
N(E_F) ... 2.2 states/eV per cell
SG ... R-3m (166)
Density ... 3.80 g cm⁻³
Energy of formation from the pure elements ... 0.85 eV/f.u.
Final energy ... -3.1518 eV per atom
Relative energy among the computed polymorphs ... 184 meV/atom